No. 1
A plane-wave DFT calculation with PBE was carried out for crystalline HfMgH3 at its relaxed geometry.

a b c (Å): 3.643 3.643 3.643
angles (deg): 90.00 90.00 90.00
Atoms (fractional coordinates):
Hf  0.000  0.000  0.000
Mg  0.500  0.500  0.500
H  0.000  0.500  0.500
H  0.500  0.000  0.500
H  0.500  0.500  0.000

Values from the calculation:
Its polymorph energy (0 for the lowest one) is 412.6 meV/atom. As for the symmetry: Pm-3m. The value obtained for the mass density is 7.07 Mg/m³. As for the density of states at the Fermi level: 2.50 states/eV per cell.

No. 2
A plane-wave DFT calculation with PBE was carried out for crystalline HfMgH at its relaxed geometry.

a b c (Å): 3.350 5.310 5.371
angles (deg): 96.24 90.00 90.21
Atoms (fractional coordinates):
Hf  0.249  0.256  0.020
Hf  0.751  0.744  0.980
Mg  0.250  0.735  0.466
Mg  0.750  0.265  0.534
H  0.252  0.899  0.856
H  0.748  0.101  0.144

Values from the calculation:
Its polymorph energy (0 for the lowest one) is 40.3 meV/atom. As for the symmetry: P-1. The value obtained for the mass density is 7.13 Mg/m³. As for the density of states at the Fermi level: 3.27 states/eV per cell.

No. 3
A plane-wave DFT calculation with PBE was carried out for crystalline HfMgH at its relaxed geometry.

a b c (Å): 3.190 4.820 6.228
angles (deg): 89.40 75.18 89.88
Atoms (fractional coordinates):
Hf  0.186  0.252  0.130
Hf  0.814  0.748  0.870
Mg  0.437  0.248  0.618
Mg  0.563  0.752  0.382
H  0.218  0.660  0.063
H  0.782  0.340  0.937

Values from the calculation:
Its polymorph energy (0 for the lowest one) is 0.5 meV/atom. As for the symmetry: P-1. The value obtained for the mass density is 7.31 Mg/m³. As for the density of states at the Fermi level: 3.10 states/eV per cell.

No. 4
A plane-wave DFT calculation with PBE was carried out for crystalline HfMg2H6 at its relaxed geometry.

a b c (Å): 5.101 5.101 5.101
angles (deg): 60.00 60.00 60.00
Atoms (fractional coordinates):
Hf  0.000  0.000  0.000
Mg  0.250  0.250  0.250
Mg  0.750  0.750  0.750
H  0.268  0.268  0.732
H  0.268  0.732  0.268
H  0.268  0.732  0.732
H  0.732  0.268  0.268
H  0.732  0.268  0.732
H  0.732  0.732  0.268

Values from the calculation:
As for the symmetry: Fm-3m. The electronic total energy is -32.2 eV/cell. The value obtained for the mass density is 4.12 Mg/m³. As for the density of states at the Fermi level: 3.35 states/eV per cell.

No. 5
A plane-wave DFT calculation with PBE was carried out for crystalline Hf5Mg3H12 at its relaxed geometry.

a b c (Å): 10.250 10.250 10.250
angles (deg): 109.47 109.47 109.47
Atoms (fractional coordinates):
Hf  0.000  0.000  0.000
Hf  0.000  0.000  0.500
Hf  0.000  0.500  0.000
Hf  0.000  0.500  0.500
Hf  0.125  0.750  0.875
Hf  0.125  0.875  0.250
Hf  0.250  0.125  0.875
Hf  0.250  0.625  0.375
Hf  0.375  0.250  0.625
Hf  0.375  0.625  0.750
Hf  0.500  0.000  0.000
Hf  0.500  0.000  0.500
Hf  0.500  0.500  0.000
Hf  0.500  0.500  0.500
Hf  0.625  0.375  0.250
Hf  0.625  0.750  0.375
Hf  0.750  0.375  0.625
Hf  0.750  0.875  0.125
Hf  0.875  0.125  0.750
Hf  0.875  0.250  0.125
Mg  0.125  0.250  0.375
Mg  0.125  0.375  0.750
Mg  0.250  0.375  0.125
Mg  0.250  0.875  0.625
Mg  0.375  0.125  0.250
Mg  0.375  0.750  0.125
Mg  0.625  0.250  0.875
Mg  0.625  0.875  0.750
Mg  0.750  0.125  0.375
Mg  0.750  0.625  0.875
Mg  0.875  0.625  0.250
Mg  0.875  0.750  0.625
H  0.053  0.713  0.657
H  0.053  0.840  0.396
H  0.056  0.213  0.160
H  0.056  0.343  0.896
H  0.104  0.660  0.447
H  0.104  0.944  0.657
H  0.157  0.213  0.553
H  0.157  0.444  0.604
H  0.160  0.056  0.213
H  0.160  0.604  0.947
H  0.213  0.160  0.056
H  0.213  0.553  0.157
H  0.287  0.343  0.947
H  0.287  0.444  0.340
H  0.340  0.287  0.444
H  0.340  0.553  0.896
H  0.343  0.896  0.056
H  0.343  0.947  0.287
H  0.396  0.053  0.840
H  0.396  0.843  0.556
H  0.444  0.340  0.287
H  0.444  0.604  0.157
H  0.447  0.104  0.660
H  0.447  0.843  0.787
H  0.553  0.157  0.213
H  0.553  0.896  0.340
H  0.556  0.396  0.843
H  0.556  0.660  0.713
H  0.604  0.157  0.444
H  0.604  0.947  0.160
H  0.657  0.053  0.713
H  0.657  0.104  0.944
H  0.660  0.447  0.104
H  0.660  0.713  0.556
H  0.713  0.556  0.660
H  0.713  0.657  0.053
H  0.787  0.447  0.843
H  0.787  0.840  0.944
H  0.840  0.396  0.053
H  0.840  0.944  0.787
H  0.843  0.556  0.396
H  0.843  0.787  0.447
H  0.896  0.056  0.343
H  0.896  0.340  0.553
H  0.944  0.657  0.104
H  0.944  0.787  0.840
H  0.947  0.160  0.604
H  0.947  0.287  0.343

Values from the calculation:
As for the symmetry: Ia-3d. The electronic total energy is -398.4 eV/cell. The value obtained for the mass density is 7.83 Mg/m³. As for the density of states at the Fermi level: 30.12 states/eV per cell.

No. 6
A plane-wave DFT calculation with PBE was carried out for crystalline HfMg3H at its relaxed geometry.

a b c (Å): 4.453 4.453 4.453
angles (deg): 90.00 90.00 90.00
Atoms (fractional coordinates):
Hf  0.000  0.000  0.000
Mg  0.000  0.500  0.500
Mg  0.500  0.000  0.500
Mg  0.500  0.500  0.000
H  0.500  0.500  0.500

Values from the calculation:
As for the symmetry: Pm-3m. The electronic total energy is -16.9 eV/cell. The value obtained for the mass density is 4.75 Mg/m³. As for the density of states at the Fermi level: 5.23 states/eV per cell.

The highest mass density belongs to which entry? Hf5Mg3H12

Which value of mass density does entry 3 give? 7.31 Mg/m³